*a*
HfAsAuO | PBE | optimized geometry

CIF file:
```
data_HfAsAuO
_chemical_formula_sum 'Hf2 As2 Au2 O2'
_symmetry_space_group_name_H-M 'P m c 21'
_symmetry_Int_Tables_number 26
_cell_length_a 3.957
_cell_length_b 6.122
_cell_length_c 7.079
_cell_angle_alpha 90.00
_cell_angle_beta 90.00
_cell_angle_gamma 90.00
loop_
_symmetry_equiv_pos_as_xyz
'x,y,z'
'-x,-y,z+1/2'
'-x,y,z'
'x,-y,z+1/2'
loop_
_atom_site_label
_atom_site_type_symbol
_atom_site_fract_x
_atom_site_fract_y
_atom_site_fract_z
Hf1 Hf 0.000 0.054 0.000
As1 As 0.500 0.305 0.868
Au1 Au 0.500 0.321 0.525
O1 O 0.000 0.135 0.270
```


*b*
HfAsAuO | PBE | optimized geometry

CIF file:
```
data_HfAsAuO
_chemical_formula_sum 'Hf2 As2 Au2 O2'
_symmetry_space_group_name_H-M 'P 4/n m m'
_symmetry_Int_Tables_number 129
_cell_length_a 5.444
_cell_length_b 5.444
_cell_length_c 4.646
_cell_angle_alpha 90.00
_cell_angle_beta 90.00
_cell_angle_gamma 90.00
loop_
_symmetry_equiv_pos_as_xyz
'x,y,z'
'-x,-y,-z'
'-y+1/2,x,z'
'y+1/2,-x,-z'
'-x+1/2,-y+1/2,z'
'x+1/2,y+1/2,-z'
'y,-x+1/2,z'
'-y,x+1/2,-z'
'x+1/2,-y,-z'
'-x+1/2,y,z'
'-y,-x,-z'
'y,x,z'
'-x,y+1/2,-z'
'x,-y+1/2,z'
'y+1/2,x+1/2,-z'
'-y+1/2,-x+1/2,z'
loop_
_atom_site_label
_atom_site_type_symbol
_atom_site_fract_x
_atom_site_fract_y
_atom_site_fract_z
Hf1 Hf 0.250 0.750 0.000
As1 As 0.250 0.250 0.124
Au1 Au 0.250 0.250 0.628
O1 O 0.250 0.750 0.500
```


*a* ends up most stable, edging out the next structure by 455 meV per atom.


*a*
HfAsOsAu | PBE | optimized geometry

CIF file:
```
data_HfAsOsAu
_chemical_formula_sum 'Hf4 As4 Os4 Au4'
_symmetry_space_group_name_H-M 'F -4 3 m'
_symmetry_Int_Tables_number 216
_symmetry_space_group_name_Hall 'F -4 2 3'
_cell_length_a 6.565
_cell_length_b 6.565
_cell_length_c 6.565
_cell_angle_alpha 90.00
_cell_angle_beta 90.00
_cell_angle_gamma 90.00
loop_
_atom_site_label
_atom_site_type_symbol
_atom_site_fract_x
_atom_site_fract_y
_atom_site_fract_z
Hf1 Hf 0.000 0.000 0.000
As1 As 0.250 0.250 0.750
Os1 Os 0.250 0.250 0.250
Au1 Au 0.000 0.000 0.500
```


*b*
HfAsOsAu | PBE | optimized geometry

CIF file:
```
data_HfAsOsAu
_chemical_formula_sum 'Hf4 As4 Os4 Au4'
_symmetry_space_group_name_H-M 'F -4 3 m'
_symmetry_Int_Tables_number 216
_symmetry_space_group_name_Hall 'F -4 2 3'
_cell_length_a 6.470
_cell_length_b 6.470
_cell_length_c 6.470
_cell_angle_alpha 90.00
_cell_angle_beta 90.00
_cell_angle_gamma 90.00
loop_
_atom_site_label
_atom_site_type_symbol
_atom_site_fract_x
_atom_site_fract_y
_atom_site_fract_z
Hf1 Hf 0.000 0.000 0.000
As1 As 0.250 0.250 0.250
Os1 Os 0.000 0.000 0.500
Au1 Au 0.250 0.250 0.750
```


*b* ends up most stable, edging out the next structure by 240 meV per atom.


*a*
NiHgAsAu | PBE | optimized geometry

CIF file:
```
data_NiHgAsAu
_chemical_formula_sum 'Ni4 Hg4 As4 Au4'
_symmetry_space_group_name_H-M 'F -4 3 m'
_symmetry_Int_Tables_number 216
_symmetry_space_group_name_Hall 'F -4 2 3'
_cell_length_a 6.564
_cell_length_b 6.564
_cell_length_c 6.564
_cell_angle_alpha 90.00
_cell_angle_beta 90.00
_cell_angle_gamma 90.00
loop_
_atom_site_label
_atom_site_type_symbol
_atom_site_fract_x
_atom_site_fract_y
_atom_site_fract_z
Ni1 Ni 0.000 0.000 0.000
Hg1 Hg 0.250 0.250 0.250
As1 As 0.000 0.000 0.500
Au1 Au 0.250 0.250 0.750
```


*b*
NiHgAsAu | PBE | optimized geometry

CIF file:
```
data_NiHgAsAu
_chemical_formula_sum 'Ni4 Hg4 As4 Au4'
_symmetry_space_group_name_H-M 'F -4 3 m'
_symmetry_Int_Tables_number 216
_symmetry_space_group_name_Hall 'F -4 2 3'
_cell_length_a 6.526
_cell_length_b 6.526
_cell_length_c 6.526
_cell_angle_alpha 90.00
_cell_angle_beta 90.00
_cell_angle_gamma 90.00
loop_
_atom_site_label
_atom_site_type_symbol
_atom_site_fract_x
_atom_site_fract_y
_atom_site_fract_z
Ni1 Ni 0.000 0.000 0.000
Hg1 Hg 0.250 0.250 0.250
As1 As 0.250 0.250 0.750
Au1 Au 0.000 0.000 0.500
```


*b* ends up most stable, edging out the next structure by 71 meV per atom.


*a*
HgAsAuO | PBE | optimized geometry

CIF file:
```
data_HgAsAuO
_chemical_formula_sum 'Hg2 As2 Au2 O2'
_symmetry_space_group_name_H-M 'P m c 21'
_symmetry_Int_Tables_number 26
_cell_length_a 3.301
_cell_length_b 7.249
_cell_length_c 6.233
_cell_angle_alpha 90.00
_cell_angle_beta 90.00
_cell_angle_gamma 90.00
loop_
_symmetry_equiv_pos_as_xyz
'x,y,z'
'-x,-y,z+1/2'
'-x,y,z'
'x,-y,z+1/2'
loop_
_atom_site_label
_atom_site_type_symbol
_atom_site_fract_x
_atom_site_fract_y
_atom_site_fract_z
Hg1 Hg 0.000 0.146 0.000
As1 As 0.000 0.438 0.251
Au1 Au 0.500 0.285 0.505
O1 O 0.500 0.073 0.738
```


*b*
HgAsAuO | PBE | optimized geometry

CIF file:
```
data_HgAsAuO
_chemical_formula_sum 'Hg2 As2 Au2 O2'
_symmetry_space_group_name_H-M 'P 4/n m m'
_symmetry_Int_Tables_number 129
_cell_length_a 4.493
_cell_length_b 4.493
_cell_length_c 8.214
_cell_angle_alpha 90.00
_cell_angle_beta 90.00
_cell_angle_gamma 90.00
loop_
_symmetry_equiv_pos_as_xyz
'x,y,z'
'-x,-y,-z'
'-y+1/2,x,z'
'y+1/2,-x,-z'
'-x+1/2,-y+1/2,z'
'x+1/2,y+1/2,-z'
'y,-x+1/2,z'
'-y,x+1/2,-z'
'x+1/2,-y,-z'
'-x+1/2,y,z'
'-y,-x,-z'
'y,x,z'
'-x,y+1/2,-z'
'x,-y+1/2,z'
'y+1/2,x+1/2,-z'
'-y+1/2,-x+1/2,z'
loop_
_atom_site_label
_atom_site_type_symbol
_atom_site_fract_x
_atom_site_fract_y
_atom_site_fract_z
Hg1 Hg 0.250 0.750 0.000
As1 As 0.250 0.250 0.195
Au1 Au 0.250 0.250 0.514
O1 O 0.250 0.750 0.500
```


*c*
HgAsAuO | PBE | optimized geometry

CIF file:
```
data_HgAsAuO
_chemical_formula_sum 'Hg2 As2 Au2 O2'
_symmetry_space_group_name_H-M 'P 4/n m m'
_symmetry_Int_Tables_number 129
_cell_length_a 4.374
_cell_length_b 4.374
_cell_length_c 8.167
_cell_angle_alpha 90.00
_cell_angle_beta 90.00
_cell_angle_gamma 90.00
loop_
_symmetry_equiv_pos_as_xyz
'x,y,z'
'-x,-y,-z'
'-y+1/2,x,z'
'y+1/2,-x,-z'
'-x+1/2,-y+1/2,z'
'x+1/2,y+1/2,-z'
'y,-x+1/2,z'
'-y,x+1/2,-z'
'x+1/2,-y,-z'
'-x+1/2,y,z'
'-y,-x,-z'
'y,x,z'
'-x,y+1/2,-z'
'x,-y+1/2,z'
'y+1/2,x+1/2,-z'
'-y+1/2,-x+1/2,z'
loop_
_atom_site_label
_atom_site_type_symbol
_atom_site_fract_x
_atom_site_fract_y
_atom_site_fract_z
Hg1 Hg 0.250 0.250 0.093
As1 As 0.250 0.250 0.675
Au1 Au 0.250 0.750 0.500
O1 O 0.250 0.750 0.000
```


*a* ends up most stable, edging out the next structure by 105 meV per atom.


*a*
LuAsIrAu | PBE | optimized geometry

CIF file:
```
data_LuAsIrAu
_chemical_formula_sum 'Lu4 As4 Ir4 Au4'
_symmetry_space_group_name_H-M 'F -4 3 m'
_symmetry_Int_Tables_number 216
_symmetry_space_group_name_Hall 'F -4 2 3'
_cell_length_a 6.665
_cell_length_b 6.665
_cell_length_c 6.665
_cell_angle_alpha 90.00
_cell_angle_beta 90.00
_cell_angle_gamma 90.00
loop_
_atom_site_label
_atom_site_type_symbol
_atom_site_fract_x
_atom_site_fract_y
_atom_site_fract_z
Lu1 Lu 0.000 0.000 0.000
As1 As 0.000 0.000 0.500
Ir1 Ir 0.250 0.250 0.250
Au1 Au 0.250 0.250 0.750
```


*b*
LuAsIrAu | PBE | optimized geometry

CIF file:
```
data_LuAsIrAu
_chemical_formula_sum 'Lu4 As4 Ir4 Au4'
_symmetry_space_group_name_H-M 'F -4 3 m'
_symmetry_Int_Tables_number 216
_symmetry_space_group_name_Hall 'F -4 2 3'
_cell_length_a 6.686
_cell_length_b 6.686
_cell_length_c 6.686
_cell_angle_alpha 90.00
_cell_angle_beta 90.00
_cell_angle_gamma 90.00
loop_
_atom_site_label
_atom_site_type_symbol
_atom_site_fract_x
_atom_site_fract_y
_atom_site_fract_z
Lu1 Lu 0.000 0.000 0.000
As1 As 0.250 0.250 0.750
Ir1 Ir 0.250 0.250 0.250
Au1 Au 0.000 0.000 0.500
```


*a* ends up most stable, edging out the next structure by 128 meV per atom.


*a*
KLiAsAu | PBE | optimized geometry

CIF file:
```
data_KLiAsAu
_chemical_formula_sum 'K4 Li4 As4 Au4'
_symmetry_space_group_name_H-M 'F -4 3 m'
_symmetry_Int_Tables_number 216
_symmetry_space_group_name_Hall 'F -4 2 3'
_cell_length_a 7.157
_cell_length_b 7.157
_cell_length_c 7.157
_cell_angle_alpha 90.00
_cell_angle_beta 90.00
_cell_angle_gamma 90.00
loop_
_atom_site_label
_atom_site_type_symbol
_atom_site_fract_x
_atom_site_fract_y
_atom_site_fract_z
K1 K 0.000 0.000 0.000
Li1 Li 0.000 0.000 0.500
As1 As 0.250 0.250 0.750
Au1 Au 0.250 0.250 0.250
```


*b*
KLiAsAu | PBE | optimized geometry

CIF file:
```
data_KLiAsAu
_chemical_formula_sum 'K4 Li4 As4 Au4'
_symmetry_space_group_name_H-M 'F -4 3 m'
_symmetry_Int_Tables_number 216
_symmetry_space_group_name_Hall 'F -4 2 3'
_cell_length_a 6.909
_cell_length_b 6.909
_cell_length_c 6.909
_cell_angle_alpha 90.00
_cell_angle_beta 90.00
_cell_angle_gamma 90.00
loop_
_atom_site_label
_atom_site_type_symbol
_atom_site_fract_x
_atom_site_fract_y
_atom_site_fract_z
K1 K 0.000 0.000 0.000
Li1 Li 0.250 0.250 0.750
As1 As 0.250 0.250 0.250
Au1 Au 0.000 0.000 0.500
```


*b* ends up most stable, edging out the next structure by 196 meV per atom.